DFT (PBE-GGA) results for a relaxed structure of LaHoCuOs.

The space group is F-43m (No. 216) and the conventional cell measures 7.017, 7.017 and 7.017 Å, with angles of 90.00, 90.00 and 90.00 degrees. The asymmetric unit holds La at (0.000, 0.000, 0.000), Ho at (0.000, 0.000, 0.500), Cu at (0.250, 0.250, 0.750) and Os at (0.250, 0.250, 0.250).

For the formation energy, the calculation gives -150 meV/atom. The total magnetic moment is 0.00 μB per formula unit. For the total energy, the calculation gives -6.36 eV/atom. Its crystal system is cubic.

=====

DFT (PBE-GGA) results for a relaxed structure of K2SbS.

The space group is Fm-3m (No. 225) and the conventional cell measures 8.110, 8.110 and 8.110 Å, with angles of 90.00, 90.00 and 90.00 degrees. The asymmetric unit holds K at (0.250, 0.250, 0.250), Sb at (0.000, 0.000, 0.000) and S at (0.000, 0.000, 0.500).

The total magnetic moment is 2.52 μB per formula unit. As for the polymorph energy (0 for the lowest one): 0.288 eV per atom. For the total energy, the calculation gives -2.76 eV/atom. As for the uncorrected formation energy: -58 kJ/mol of formula units. Its crystal system is cubic.

=====

DFT (PBE-GGA) results for a relaxed structure of RbMnP2S8.

The space group is P-3 (No. 147) and the conventional cell measures 5.8079, 5.8079 and 9.9622 Å, with angles of 90.00, 90.00 and 120.00 degrees. The asymmetric unit holds Rb at (0.0000, 0.0000, 0.0000), Mn at (0.0000, 0.0000, 0.5000), P at (0.3333, 0.6667, 0.6977), S at (0.0114, 0.6803, 0.3629) and S at (0.3333, 0.6667, 0.8977).

The total magnetic moment is 2.00 μB per formula unit. For the total energy, the calculation gives -4.83 eV/atom. As for the uncorrected formation energy: -383 kJ/mol of formula units. Its crystal system is trigonal.

=====

DFT (PBE-GGA) results for a relaxed structure of CsSrMg4.

The space group is F-43m (No. 216) and the conventional cell measures 9.423, 9.423 and 9.423 Å, with angles of 90.00, 90.00 and 90.00 degrees. The asymmetric unit holds Cs at (0.000, 0.000, 0.000), Sr at (0.250, 0.250, 0.250) and Mg at (0.123, 0.123, 0.623).

For the formation energy, the calculation gives 108 meV/atom. The total magnetic moment is 0.00 μB per formula unit. For the total energy, the calculation gives -1.38 eV/atom. Its crystal system is cubic.